Below is a geometry-optimized Ce2Ga2Pd structure, with properties calculated at the GGA-PBE level.

The structure in POSCAR format:
```
Ce2Ga2Pd
1.0
5.348 -2.249 0.000
5.348 2.249 0.000
-3.384 0.000 8.998
Ce Ga Pd
4 4 2
direct
0.101 0.101 0.378
0.185 0.185 0.051
0.815 0.815 0.949
0.899 0.899 0.622
0.398 0.398 0.371
0.488 0.488 0.857
0.512 0.512 0.143
0.602 0.602 0.629
0.227 0.227 0.709
0.773 0.773 0.291
```

Summary:
The value obtained for the formation energy is -0.640 eV/atom. The value obtained for the energy above the lowest structure with this stoichiometry is 4 meV/atom. For the total magnetization, the calculation gives 2.6 μB/cell.

=====

Below is a geometry-optimized LiSc2Si4Pt3 structure, with properties calculated at the GGA-PBE level.

The structure in POSCAR format:
```
LiSc2Si4Pt3
1.0
3.898 0.000 0.000
0.000 3.898 0.000
0.000 0.000 10.646
Li Sc Si Pt
1 2 4 3
direct
0.000 0.000 0.000
0.000 0.500 0.768
0.500 0.000 0.232
0.000 0.000 0.500
0.000 0.500 0.140
0.500 0.000 0.860
0.500 0.500 0.500
0.000 0.500 0.363
0.500 0.000 0.637
0.500 0.500 0.000
```

Summary:
For the total magnetization, the calculation gives 0.0 μB/cell. The calculation puts the raw formation energy at -0.89 eV/atom.

=====

Below is a geometry-optimized NbSbAu2 structure, with properties calculated at the GGA-PBE level.

The structure in POSCAR format:
```
NbSbAu2
1.0
1.492 0.862 10.946
-1.492 0.862 10.946
0.000 -1.723 10.946
Nb Sb Au
1 1 2
direct
0.000 0.000 0.000
0.500 0.500 0.500
0.083 0.083 0.083
0.917 0.917 0.917
```

Summary:
For the total magnetization, the calculation gives 0.0 μB/cell. The calculation puts the raw formation energy at 0.45 eV/atom.

=====

Below is a geometry-optimized HfBeZnCo structure, with properties calculated at the GGA-PBE level.

The structure in POSCAR format:
```
HfBeZnCo
1.0
0.000 2.995 2.995
2.995 0.000 2.995
2.995 2.995 0.000
Hf Be Zn Co
1 1 1 1
direct
0.000 0.000 0.000
0.250 0.250 0.250
0.500 0.500 0.500
0.750 0.750 0.750
```

Summary:
The value obtained for the formation energy is -0.124 eV/atom. For the total magnetization, the calculation gives 0.2 μB/cell.

=====

Below is a geometry-optimized Ba2SrCa structure, with properties calculated at the GGA-PBE level.

The structure in POSCAR format:
```
Ba2SrCa
1.0
0.000 4.808 4.808
4.808 0.000 4.808
4.808 4.808 0.000
Ba Sr Ca
2 1 1
direct
0.250 0.250 0.250
0.750 0.750 0.750
0.000 0.000 0.000
0.500 0.500 0.500
```

Summary:
The value obtained for the formation energy is 0.026 eV/atom. The value obtained for the energy above the lowest structure with this stoichiometry is 7 meV/atom. For the total magnetization, the calculation gives 0.0 μB/cell.

=====

Below is a geometry-optimized Re3OsS structure, with properties calculated at the GGA-PBE level.

The structure in POSCAR format:
```
Re3OsS
1.0
4.743 0.000 0.000
0.000 4.743 0.000
0.000 0.000 4.743
Re Os S
3 1 1
direct
0.000 0.000 0.500
0.000 0.500 0.000
0.500 0.000 0.000
0.000 0.000 0.000
0.500 0.500 0.500
```

Summary:
The value obtained for the energy above the lowest structure with this stoichiometry is 1327 meV/atom. For the total magnetization, the calculation gives 2.4 μB/cell. The calculation puts the raw formation energy at 2.53 eV/atom.

=====

Below is a geometry-optimized AgOsRu structure, with properties calculated at the GGA-PBE level.

The structure in POSCAR format:
```
AgOsRu
1.0
-1.389 1.884 4.407
1.389 -1.884 4.407
1.389 1.884 -4.407
Ag Os Ru
1 1 1
direct
0.000 0.000 0.000
0.685 0.685 0.000
0.315 0.315 0.000
```

Summary:
The value obtained for the formation energy is 0.505 eV/atom. The value obtained for the energy above the lowest structure with this stoichiometry is 172 meV/atom. For the total magnetization, the calculation gives 0.0 μB/cell.

=====

Below is a geometry-optimized CdTcP2 structure, with properties calculated at the GGA-PBE level.

The structure in POSCAR format:
```
CdTcP2
1.0
2.956 0.000 0.000
0.000 2.956 0.000
0.000 0.000 8.180
Cd Tc P
1 1 2
direct
0.000 0.000 0.000
0.000 0.000 0.500
0.500 0.500 0.329
0.500 0.500 0.671
```

Summary:
The value obtained for the formation energy is -0.083 eV/atom. For the total magnetization, the calculation gives 0.0 μB/cell.

=====

Below is a geometry-optimized Ba12Cd3Ag5 structure, with properties calculated at the GGA-PBE level.

The structure in POSCAR format:
```
Ba12Cd3Ag5
1.0
-10.098 10.098 10.098
10.098 -10.098 10.098
10.098 10.098 -10.098
Ba Cd Ag
48 12 20
direct
0.043 0.218 0.126
0.043 0.326 0.917
0.083 0.626 0.408
0.083 0.957 0.674
0.092 0.718 0.674
0.092 0.874 0.417
0.126 0.043 0.218
0.126 0.583 0.908
0.174 0.218 0.592
0.174 0.457 0.583
0.218 0.126 0.043
0.218 0.592 0.174
0.282 0.326 0.908
0.282 0.457 0.374
0.326 0.908 0.282
0.326 0.917 0.043
0.374 0.282 0.457
0.374 0.592 0.917
0.408 0.083 0.626
0.408 0.826 0.782
0.417 0.092 0.874
0.417 0.826 0.543
0.457 0.374 0.282
0.457 0.583 0.174
0.543 0.417 0.826
0.543 0.626 0.718
0.583 0.174 0.457
0.583 0.908 0.126
0.592 0.174 0.218
0.592 0.917 0.374
0.626 0.408 0.083
0.626 0.718 0.543
0.674 0.083 0.957
0.674 0.092 0.718
0.718 0.543 0.626
0.718 0.674 0.092
0.782 0.408 0.826
0.782 0.874 0.957
0.826 0.543 0.417
0.826 0.782 0.408
0.874 0.417 0.092
0.874 0.957 0.782
0.908 0.126 0.583
0.908 0.282 0.326
0.917 0.043 0.326
0.917 0.374 0.592
0.957 0.674 0.083
0.957 0.782 0.874
0.125 0.250 0.375
0.125 0.375 0.750
0.250 0.375 0.125
0.250 0.875 0.625
0.375 0.125 0.250
0.375 0.750 0.125
0.625 0.250 0.875
0.625 0.875 0.750
0.750 0.125 0.375
0.750 0.625 0.875
0.875 0.625 0.250
0.875 0.750 0.625
0.000 0.000 0.000
0.000 0.000 0.500
0.000 0.500 0.000
0.000 0.500 0.500
0.125 0.750 0.875
0.125 0.875 0.250
0.250 0.125 0.875
0.250 0.625 0.375
0.375 0.250 0.625
0.375 0.625 0.750
0.500 0.000 0.000
0.500 0.000 0.500
0.500 0.500 0.000
0.500 0.500 0.500
0.625 0.375 0.250
0.625 0.750 0.375
0.750 0.375 0.625
0.750 0.875 0.125
0.875 0.125 0.750
0.875 0.250 0.125
```

Summary:
The value obtained for the formation energy is -0.027 eV/atom. For the total magnetization, the calculation gives 0.0 μB/cell.

=====

Below is a geometry-optimized AgGeBF2 structure, with properties calculated at the GGA-PBE level.

The structure in POSCAR format:
```
AgGeBF2
1.0
3.772 0.000 0.000
0.000 3.772 0.000
0.000 0.000 4.765
Ag Ge B F
1 1 1 2
direct
0.000 0.000 0.000
0.500 0.500 0.000
0.000 0.000 0.500
0.000 0.500 0.500
0.500 0.000 0.500
```

Summary:
For the total magnetization, the calculation gives 0.3 μB/cell. The calculation puts the raw formation energy at -0.17 eV/atom.

=====

Below is a geometry-optimized Na4PrSm3Te8 structure, with properties calculated at the GGA-PBE level.

The structure in POSCAR format:
```
Na4PrSm3Te8
1.0
4.523 2.611 7.569
-4.523 2.611 7.569
0.000 -5.223 7.569
Na Pr Sm Te
4 1 3 8
direct
0.000 0.000 0.000
0.000 0.500 0.500
0.500 0.000 0.500
0.500 0.500 0.000
0.500 0.500 0.500
0.000 0.000 0.500
0.000 0.500 0.000
0.500 0.000 0.000
0.242 0.748 0.748
0.245 0.245 0.245
0.252 0.252 0.758
0.252 0.758 0.252
0.748 0.242 0.748
0.748 0.748 0.242
0.755 0.755 0.755
0.758 0.252 0.252
```

Summary:
For the total magnetization, the calculation gives 0.0 μB/cell. The calculation puts the raw formation energy at -1.33 eV/atom.

=====

Below is a geometry-optimized Te2RhI structure, with properties calculated at the GGA-PBE level.

The structure in POSCAR format:
```
Te2RhI
1.0
7.726 0.000 0.000
0.000 4.856 0.000
0.000 0.000 13.041
Te Rh I
8 4 4
direct
0.105 0.250 0.065
0.214 0.750 0.291
0.286 0.250 0.791
0.395 0.750 0.565
0.605 0.250 0.435
0.714 0.750 0.209
0.786 0.250 0.709
0.895 0.750 0.935
0.017 0.750 0.130
0.483 0.250 0.630
0.517 0.750 0.370
0.983 0.250 0.870
0.041 0.250 0.396
0.459 0.750 0.896
0.541 0.250 0.104
0.959 0.750 0.604
```

Summary:
For the total magnetization, the calculation gives 0.0 μB/cell. The calculation puts the raw formation energy at -0.03 eV/atom.

=====

Below is a geometry-optimized Cs4K3Au3 structure, with properties calculated at the GGA-PBE level.

The structure in POSCAR format:
```
Cs4K3Au3
1.0
-6.442 6.442 6.442
6.442 -6.442 6.442
6.442 6.442 -6.442
Cs K Au
8 6 6
direct
0.000 0.337 0.500
0.000 0.837 0.500
0.163 0.163 0.163
0.337 0.500 0.000
0.500 0.000 0.337
0.500 0.000 0.837
0.663 0.663 0.663
0.837 0.500 0.000
0.125 0.750 0.875
0.250 0.625 0.375
0.375 0.250 0.625
0.625 0.375 0.250
0.750 0.875 0.125
0.875 0.125 0.750
0.125 0.875 0.250
0.250 0.125 0.875
0.375 0.625 0.750
0.625 0.750 0.375
0.750 0.375 0.625
0.875 0.250 0.125
```

Summary:
The value obtained for the formation energy is -0.145 eV/atom. For the total magnetization, the calculation gives 0.0 μB/cell.

=====

Below is a geometry-optimized NaLi2TaF6 structure, with properties calculated at the GGA-PBE level.

The structure in POSCAR format:
```
NaLi2TaF6
1.0
0.000 4.257 4.257
4.257 0.000 4.257
4.257 4.257 0.000
Na Li Ta F
1 2 1 6
direct
0.000 0.000 0.000
0.250 0.250 0.250
0.750 0.750 0.750
0.500 0.500 0.500
0.260 0.260 0.740
0.260 0.740 0.260
0.260 0.740 0.740
0.740 0.260 0.260
0.740 0.260 0.740
0.740 0.740 0.260
```

Summary:
For the total magnetization, the calculation gives 1.6 μB/cell. The calculation puts the raw formation energy at -2.42 eV/atom.

=====

Below is a geometry-optimized YSeN2O structure, with properties calculated at the GGA-PBE level.

The structure in POSCAR format:
```
YSeN2O
1.0
4.607 0.000 0.000
0.000 4.607 0.000
0.000 0.000 5.768
Y Se N O
1 1 2 1
direct
0.000 0.000 0.000
0.000 0.000 0.500
0.000 0.500 0.000
0.500 0.000 0.000
0.500 0.500 0.500
```

Summary:
For the total magnetization, the calculation gives 7.0 μB/cell. The calculation puts the raw formation energy at 1.36 eV/atom.

=====

Below is a geometry-optimized Sm5Cu2Au structure, with properties calculated at the GGA-PBE level.

The structure in POSCAR format:
```
Sm5Cu2Au
1.0
-3.627 3.627 7.943
3.627 -3.627 7.943
3.627 3.627 -7.943
Sm Cu Au
10 4 2
direct
0.000 0.000 0.000
0.021 0.521 0.838
0.183 0.021 0.500
0.317 0.817 0.838
0.479 0.317 0.500
0.500 0.500 0.000
0.521 0.683 0.500
0.683 0.183 0.162
0.817 0.979 0.500
0.979 0.479 0.162
0.122 0.378 0.500
0.378 0.878 0.257
0.622 0.122 0.743
0.878 0.622 0.500
0.250 0.250 0.000
0.750 0.750 0.000
```

Summary:
The value obtained for the formation energy is -0.279 eV/atom. For the total magnetization, the calculation gives 0.0 μB/cell.

=====

Below is a geometry-optimized Ca8Sn2Pb structure, with properties calculated at the GGA-PBE level.

The structure in POSCAR format:
```
Ca8Sn2Pb
1.0
9.619 -2.657 0.000
9.619 2.657 0.000
-2.054 0.000 7.310
Ca Sn Pb
8 2 1
direct
0.029 0.029 0.275
0.202 0.202 0.797
0.336 0.336 0.547
0.404 0.404 0.047
0.596 0.596 0.953
0.664 0.664 0.453
0.798 0.798 0.203
0.971 0.971 0.725
0.192 0.192 0.211
0.808 0.808 0.789
0.500 0.500 0.500
```

Summary:
The value obtained for the formation energy is -0.435 eV/atom. The value obtained for the energy above the lowest structure with this stoichiometry is 0 meV/atom. For the total magnetization, the calculation gives 0.0 μB/cell.